{"formula": "LaY2Os", "functional": "PBE", "state": "optimized geometry", "lattice": [[-5.0463, -0.8705, 0.6864], [-3.3823, 3.8720, -0.5111], [-3.2133, 0.1062, -4.0444]], "species": ["Y", "Y", "La", "Os"], "fractional_positions": [[0.7500, 0.7500, 0.7500], [0.2500, 0.2500, 0.2500], [0.0000, 0.0000, 0.0000], [0.5000, 0.5000, 0.5000]], "de_polymorph_mev_per_atom": 401, "dft_energy_ev_per_atom": -7.08}

=====

{"formula": "NbTeSN2", "functional": "PBE", "state": "optimized geometry", "lattice": [[-3.1803, 0.1542, -2.3733], [-1.4183, -3.3042, 1.6858], [-2.9543, 3.4008, 4.1798]], "species": ["Nb", "S", "N", "N", "Te"], "fractional_positions": [[0.0000, 0.0000, 0.0000], [0.5000, 0.5000, 0.5000], [0.5000, 0.0000, 0.0000], [0.0000, 0.5000, 0.0000], [0.0000, 0.0000, 0.5000]], "de_polymorph_mev_per_atom": 47, "raw_formation_energy_mev_per_atom": 484, "dft_energy_ev_per_atom": -6.31}

=====

{"formula": "ZrGaSF2", "functional": "PBE", "state": "optimized geometry", "lattice": [[4.2347, 0.0000, 0.0000], [0.0000, 5.1361, 0.0000], [0.0000, 0.0000, 4.2347]], "species": ["Ga", "F", "F", "Zr", "S"], "fractional_positions": [[0.5000, 0.5000, 0.5000], [0.5000, 0.0000, 0.0000], [0.0000, 0.0000, 0.5000], [0.0000, 0.5000, 0.0000], [0.0000, 0.0000, 0.0000]], "raw_formation_energy_mev_per_atom": -540, "dft_energy_ev_per_atom": -4.43}

=====

{"formula": "LuB2Ru", "functional": "PBE", "state": "optimized geometry", "lattice": [[5.2568, 0.0000, 0.0000], [0.0000, 5.8278, 0.0000], [0.0000, 0.0000, 6.2947]], "species": ["B", "B", "B", "B", "B", "B", "B", "B", "Ru", "Ru", "Ru", "Ru", "Lu", "Lu", "Lu", "Lu"], "fractional_positions": [[0.9162, 0.6345, 0.9645], [0.4162, 0.3655, 0.0355], [0.5838, 0.1345, 0.5355], [0.9162, 0.1345, 0.5355], [0.5838, 0.6345, 0.9645], [0.0838, 0.8655, 0.4645], [0.0838, 0.3655, 0.0355], [0.4162, 0.8655, 0.4645], [0.2500, 0.1823, 0.3184], [0.7500, 0.8177, 0.6816], [0.2500, 0.6823, 0.1816], [0.7500, 0.3177, 0.8184], [0.2500, 0.0114, 0.8345], [0.7500, 0.9886, 0.1655], [0.7500, 0.4886, 0.3345], [0.2500, 0.5114, 0.6655]], "de_polymorph_mev_per_atom": 0, "dft_energy_ev_per_atom": -7.46}

=====

{"formula": "AcPr5In3", "functional": "PBE", "state": "optimized geometry", "lattice": [[-5.9526, -0.5925, 3.8349], [4.0405, -7.2487, 5.1518], [0.9956, 9.2503, 2.9746]], "species": ["Pr", "Pr", "Pr", "Pr", "Pr", "Pr", "Pr", "Pr", "Pr", "Pr", "In", "In", "In", "In", "In", "In", "Ac", "Ac"], "fractional_positions": [[0.0000, 0.6668, 0.3335], [0.7500, 0.6636, 0.6636], [0.7500, 0.3365, 0.0000], [0.2500, 0.0001, 0.6636], [0.5000, 0.3332, 0.6665], [0.5000, 0.6668, 0.3335], [0.2500, 0.6635, 0.0000], [0.2500, 0.3364, 0.3364], [0.0000, 0.3332, 0.6665], [0.7500, 0.9999, 0.3364], [0.2500, 0.3355, 0.0000], [0.7500, 0.6645, 0.0000], [0.2500, 0.0000, 0.3355], [0.7500, 0.0000, 0.6645], [0.2500, 0.6645, 0.6645], [0.7500, 0.3355, 0.3355], [0.5000, 0.0000, 0.0000], [0.0000, 0.0000, 0.0000]], "dft_energy_ev_per_atom": -4.34}

=====

{"formula": "AlSn3Bi", "functional": "PBE", "state": "optimized geometry", "lattice": [[5.8961, 0.0000, 0.0000], [0.0000, 5.8961, 0.0000], [0.0000, 0.0000, 5.8961]], "species": ["Sn", "Sn", "Sn", "Bi", "Al"], "fractional_positions": [[0.5000, 0.0000, 0.0000], [0.0000, 0.0000, 0.5000], [0.0000, 0.5000, 0.0000], [0.0000, 0.0000, 0.0000], [0.5000, 0.5000, 0.5000]], "de_polymorph_mev_per_atom": 626, "dft_energy_ev_per_atom": -2.98}

=====

{"formula": "Ba3NiRu", "functional": "PBE", "state": "optimized geometry", "lattice": [[5.7854, 0.0000, 0.0000], [0.0000, 5.7854, 0.0000], [0.0000, 0.0000, 5.7854]], "species": ["Ba", "Ba", "Ba", "Ni", "Ru"], "fractional_positions": [[0.0000, 0.0000, 0.5000], [0.5000, 0.0000, 0.0000], [0.0000, 0.5000, 0.0000], [0.5000, 0.5000, 0.5000], [0.0000, 0.0000, 0.0000]], "de_polymorph_mev_per_atom": 0, "dft_energy_ev_per_atom": -3.61}

=====

{"formula": "BeCu2Si", "functional": "PBE", "state": "optimized geometry", "lattice": [[4.3758, 0.0144, -0.0507], [1.6107, 4.0690, 0.0097], [-2.9863, -2.0762, 2.5678]], "species": ["Si", "Be", "Cu", "Cu"], "fractional_positions": [[0.4998, 0.5002, 0.0000], [0.2506, 0.7495, 0.5000], [0.9990, 0.0010, 0.0000], [0.7506, 0.2494, 0.5000]], "raw_formation_energy_mev_per_atom": 26, "dft_energy_ev_per_atom": -4.31}

=====

{"formula": "LaTb4Tm5", "functional": "PBE", "state": "optimized geometry", "lattice": [[6.2445, 0.0000, 0.0000], [3.1222, 7.2190, 0.0000], [3.1222, 0.0000, 7.2190]], "species": ["Tb", "Tb", "Tb", "Tb", "Tm", "Tm", "Tm", "Tm", "Tm", "La"], "fractional_positions": [[0.1023, 0.2998, 0.4040], [0.5063, 0.5960, 0.2998], [0.8061, 0.7002, 0.5960], [0.4021, 0.4040, 0.7002], [0.8017, 0.3791, 0.9107], [0.7124, 0.0893, 0.3791], [0.6832, 0.0000, 0.0000], [0.0916, 0.6209, 0.0893], [0.1808, 0.9107, 0.6209], [0.2237, 0.0000, 0.0000]], "de_polymorph_mev_per_atom": 239, "dft_energy_ev_per_atom": -4.28}

=====

{"formula": "NdSm5Te4", "functional": "PBE", "state": "optimized geometry", "lattice": [[-2.1324, -0.4863, 3.7216], [-6.5515, -3.7266, -4.2409], [6.5212, -7.0184, 0.3159]], "species": ["Sm", "Sm", "Sm", "Sm", "Sm", "Te", "Te", "Te", "Te", "Nd"], "fractional_positions": [[0.1864, 0.3536, 0.3729], [0.8136, 0.6464, 0.6271], [0.5000, 0.5000, 0.0000], [0.8380, 0.1949, 0.6761], [0.1620, 0.8051, 0.3239], [0.3302, 0.9244, 0.6605], [0.9878, 0.7402, 0.9756], [0.6698, 0.0756, 0.3395], [0.0122, 0.2598, 0.0244], [0.5000, 0.0000, 0.0000]], "raw_formation_energy_mev_per_atom": -979, "dft_energy_ev_per_atom": -5.07}

=====

{"formula": "Pa2TaTc", "functional": "PBE", "state": "optimized geometry", "lattice": [[3.5088, 0.0000, 0.0000], [0.0000, 3.5088, 0.0000], [0.0000, 0.0000, 6.9375]], "species": ["Pa", "Pa", "Tc", "Ta"], "fractional_positions": [[0.0000, 0.0000, 0.7654], [0.0000, 0.0000, 0.2346], [0.5000, 0.5000, 0.0000], [0.5000, 0.5000, 0.5000]], "de_polymorph_mev_per_atom": 0, "dft_energy_ev_per_atom": -10.14}